K2Ti3HgO8 | PBE-GGA | optimized geometry

For the formation energy (no corrections), the calculation gives -32.2 eV per formula unit. The volume is 15.3 Å³/atom. The calculation puts the energy at -7.005 eV/atom. The calculation puts the density of states at the Fermi level at 0.000 states/eV per cell.

The space group is R3m (No. 160, hexagonal axes) and the conventional cell measures 6.2072, 6.2072 and 19.3001 Å, with angles of 90.00, 90.00 and 120.00 degrees. Symmetry generates all atoms from K at (0.0000, 0.0000, 0.0000), K at (0.0000, 0.0000, 0.3605), Ti at (0.0053, 0.5026, 0.8646), Hg at (0.0000, 0.0000, 0.7878), O at (0.0000, 0.0000, 0.1401), O at (0.0000, 0.0000, 0.5824), O at (0.0547, 0.5273, 0.1387) and O at (0.1837, 0.3673, 0.9120).